Below is crystalline Ac3La5Y3 at its relaxed geometry, with properties calculated at the PBE level.

Cell lengths 9.6185, 9.6185, 6.1735 Å; angles 90.00, 90.00, 120.00 degrees
Sites, in units of the cell vectors:
Ac 0.0000 0.3537 0.0000
Ac 0.3537 0.0000 0.0000
Ac 0.6463 0.6463 0.0000
La 0.0000 0.6085 0.5000
La 0.3333 0.6667 0.5000
La 0.3915 0.3915 0.5000
La 0.6085 0.0000 0.5000
La 0.6667 0.3333 0.5000
Y 0.0000 0.2203 0.5000
Y 0.2203 0.0000 0.5000
Y 0.7797 0.7797 0.5000

Volume   45.0 A^3/atom
Energy of formation from the pure elements   0.6512 eV/atom
SG   P-62m